Crystalline LiNbSn2 at its relaxed geometry. Source: Alexandria, functional PBE.

calculated formation energy = -0.07 eV per atom
calculated volume = 20.228 Å³ per atom
E = -5.064 eV per atom
polymorph energy (0 for the lowest one) = 42.1 meV per atom
size of the total moment = 0.00 μB per atom

```
LiNbSn2
1.0
-0.0669 -0.4789 -3.0780
-4.9672 -1.1038 0.2797
-1.1334 4.9130 -0.7398
Nb Sn Li
1 2 1
Cartesian
-3.0837 1.6652 -1.7691
-0.5667 2.4565 -0.3699
-2.4836 -0.5519 0.1398
-0.0334 -0.2395 -1.5390
```